A) Entry from Alexandria: a PBEsol-optimized structure of NaAlAu3 (SCAN).

Unit cell a=4.825 b=4.825 c=4.825 alpha=90.00 beta=90.00 gamma=90.00
Fractional positions:
Na (0.000, 0.000, 0.000)
Au (0.000, 0.500, 0.000)
Au (0.000, 0.000, 0.500)
Au (0.500, 0.000, 0.000)
Al (0.500, 0.500, 0.500)

- space group = No. 221
- V (Å³/atom) = 22.5
- N(E_F) (states/eV per atom) = 0.45

---

B) Entry from Alexandria: a PBEsol-optimized structure of NaAlAu3 (SCAN).

Unit cell a=4.849 b=4.849 c=4.849 alpha=90.00 beta=90.00 gamma=90.00
Fractional positions:
Na (0.500, 0.500, 0.500)
Au (0.000, 0.500, 0.000)
Au (0.000, 0.000, 0.500)
Au (0.500, 0.000, 0.000)
Al (0.000, 0.000, 0.000)

- space group = No. 221
- V (Å³/atom) = 22.8
- N(E_F) (states/eV per atom) = 0.16

---

Question: which arrangement is favored energetically? Ranking from most to least stable: B), A).